Computed, not measured: an optimized crystal structure of Li3Ho12Ru5 at the GGA-PBE level of DFT.

Summary:
The calculation puts the density at 6.85 g/cm³. The symmetry is Ia-3d, No. 230. The calculation puts the volume at 30.38 A^3/atom. The calculation puts the calculated formation energy at 244.7 meV per atom.

Cell lengths 14.6708, 14.6708, 14.6708 Å; angles 109.47, 109.47, 109.47 degrees
Closest atoms and distances in Å follow each position.
Fractional positions:
Ru 0.5000 0.0000 0.0000  6 Ho 2.69
Ru 0.1250 0.3750 0.2500  4 Ho 2.55
Ru 0.7500 0.1250 0.8750  4 Ho 2.55
Ru 0.5000 0.5000 0.0000  6 Ho 2.69
Ru 0.0000 0.0000 0.5000  6 Ho 2.69
Ru 0.2500 0.3750 0.6250  4 Ho 2.55
Ru 0.3750 0.2500 0.1250  4 Ho 2.55
Ru 0.6250 0.8750 0.2500  4 Ho 2.55
Ru 0.3750 0.1250 0.7500  4 Ho 2.55
Ru 0.1250 0.7500 0.3750  4 Ho 2.55
Ru 0.0000 0.5000 0.5000  6 Ho 2.69
Ru 0.0000 0.5000 0.0000  6 Ho 2.69
Ru 0.6250 0.7500 0.8750  4 Ho 2.55
Ru 0.5000 0.0000 0.5000  6 Ho 2.69
Ru 0.8750 0.2500 0.6250  4 Ho 2.55
Ru 0.8750 0.6250 0.7500  4 Ho 2.55
Ru 0.5000 0.5000 0.5000  6 Ho 2.69
Ru 0.2500 0.8750 0.1250  4 Ho 2.55
Ru 0.7500 0.6250 0.3750  4 Ho 2.55
Ru 0.0000 0.0000 0.0000  6 Ho 2.69
Li 0.3750 0.6250 0.2500  8 Ho 3.33-3.40
Li 0.6250 0.3750 0.7500  8 Ho 3.33-3.40
Li 0.3750 0.7500 0.6250  8 Ho 3.33-3.40
Li 0.2500 0.6250 0.8750  8 Ho 3.33-3.40
Li 0.7500 0.8750 0.6250  8 Ho 3.33-3.40
Li 0.8750 0.7500 0.1250  8 Ho 3.33-3.40
Li 0.6250 0.2500 0.3750  8 Ho 3.33-3.40
Li 0.8750 0.1250 0.2500  8 Ho 3.33-3.40
Li 0.1250 0.8750 0.7500  8 Ho 3.33-3.40
Li 0.1250 0.2500 0.8750  8 Ho 3.33-3.40
Li 0.2500 0.1250 0.3750  8 Ho 3.33-3.40
Li 0.7500 0.3750 0.1250  8 Ho 3.33-3.40
Ho 0.3914 0.4136 0.0924  2 Ru 2.55-2.69
Ho 0.9778 0.3914 0.2990  2 Ru 2.55-2.69
Ho 0.7990 0.3212 0.9076  2 Ru 2.55-2.69
Ho 0.6788 0.4778 0.5864  2 Ru 2.55-2.69
Ho 0.8914 0.2990 0.4778  2 Ru 2.55-2.69
Ho 0.4136 0.0222 0.3212  2 Ru 2.55-2.69
Ho 0.0864 0.9076 0.1086  2 Ru 2.55-2.69
Ho 0.6086 0.0222 0.2010  2 Ru 2.55-2.69
Ho 0.3212 0.7990 0.4076  2 Ru 2.55-2.69
Ho 0.7990 0.4778 0.3914  2 Ru 2.55-2.69
Ho 0.6086 0.5864 0.9076  2 Ru 2.55-2.69
Ho 0.7010 0.5924 0.1788  2 Ru 2.55-2.69
Ho 0.2990 0.4076 0.8212  2 Ru 2.55-2.69
Ho 0.8914 0.5924 0.9136  2 Ru 2.55-2.69
Ho 0.3212 0.5222 0.4136  2 Ru 2.55-2.69
Ho 0.4778 0.7990 0.8914  2 Ru 2.55-2.69
Ho 0.0864 0.1788 0.4778  2 Ru 2.55-2.69
Ho 0.1788 0.0864 0.9778  2 Ru 2.55-2.69
Ho 0.1086 0.7010 0.5222  2 Ru 2.55-2.69
Ho 0.9076 0.0864 0.6086  2 Ru 2.55-2.69
Ho 0.4076 0.2990 0.3212  2 Ru 2.55-2.69
Ho 0.9136 0.8212 0.5222  2 Ru 2.55-2.69
Ho 0.5924 0.7010 0.6788  2 Ru 2.55-2.69
Ho 0.9136 0.0924 0.8914  2 Ru 2.55-2.69
Ho 0.1086 0.4076 0.0864  2 Ru 2.55-2.69
Ho 0.0924 0.1788 0.2010  2 Ru 2.55-2.69
Ho 0.5864 0.6086 0.4076  2 Ru 2.55-2.69
Ho 0.6788 0.2010 0.5924  2 Ru 2.55-2.69
Ho 0.8212 0.9136 0.0222  2 Ru 2.55-2.69
Ho 0.4778 0.6788 0.0864  2 Ru 2.55-2.69
Ho 0.2010 0.6788 0.0924  2 Ru 2.55-2.69
Ho 0.1788 0.0924 0.7010  2 Ru 2.55-2.69
Ho 0.4136 0.3914 0.5924  2 Ru 2.55-2.69
Ho 0.8212 0.9076 0.2990  2 Ru 2.55-2.69
Ho 0.0222 0.6086 0.7010  2 Ru 2.55-2.69
Ho 0.5222 0.2010 0.1086  2 Ru 2.55-2.69
Ho 0.5864 0.9778 0.6788  2 Ru 2.55-2.69
Ho 0.0222 0.4136 0.8212  2 Ru 2.55-2.69
Ho 0.9076 0.8212 0.7990  2 Ru 2.55-2.69
Ho 0.0924 0.9136 0.3914  2 Ru 2.55-2.69
Ho 0.9778 0.5864 0.1788  2 Ru 2.55-2.69
Ho 0.2990 0.8914 0.9778  2 Ru 2.55-2.69
Ho 0.4076 0.1086 0.5864  2 Ru 2.55-2.69
Ho 0.5924 0.8914 0.4136  2 Ru 2.55-2.69
Ho 0.7010 0.1086 0.0222  2 Ru 2.55-2.69
Ho 0.3914 0.9778 0.7990  2 Ru 2.55-2.69
Ho 0.5222 0.3212 0.9136  2 Ru 2.55-2.69
Ho 0.2010 0.5222 0.6086  2 Ru 2.55-2.69

Computed, not measured: an optimized crystal structure of TcSb2TeSe at the GGA-PBE level of DFT.

Summary:
The calculation puts the density at 5.87 g/cm³. The symmetry is P4/mmm, No. 123. The calculation puts the volume at 30.98 A^3/atom. The formation energy from raw total energies is 1.248 eV/atom. For the energy above the most stable polymorph in this dataset, the calculation gives 815 meV per atom.

Cell lengths 5.3943, 5.3943, 5.3242 Å; angles 90.00, 90.00, 90.00 degrees
Closest atoms and distances in Å follow each position.
Fractional positions:
Sb 0.5000 0.0000 0.0000  2 Se 2.70
Sb 0.0000 0.5000 0.0000  2 Se 2.70
Se 0.0000 0.0000 0.0000  2 Te 2.66, 4 Sb 2.70
Te 0.0000 0.0000 0.5000  2 Se 2.66
Tc 0.5000 0.5000 0.5000  8 Sb 3.79, 4 Te 3.81

Computed, not measured: an optimized crystal structure of TiNiMo3 at the GGA-PBE level of DFT.

Summary:
The calculation puts the density at 7.26 g/cm³. The symmetry is Pm-3m, No. 221. The calculation puts the volume at 18.03 A^3/atom. The calculation puts the calculated formation energy at 1195.5 meV per atom. For the energy above the most stable polymorph in this dataset, the calculation gives 0 meV per atom.

Cell lengths 4.4839, 4.4839, 4.4839 Å; angles 90.00, 90.00, 90.00 degrees
Closest atoms and distances in Å follow each position.
Fractional positions:
Ni 0.0000 0.0000 0.0000  6 Mo 2.24
Mo 0.0000 0.5000 0.0000  2 Ni 2.24
Mo 0.5000 0.0000 0.0000  2 Ni 2.24
Mo 0.0000 0.0000 0.5000  2 Ni 2.24
Ti 0.5000 0.5000 0.5000  12 Mo 3.17

Computed, not measured: an optimized crystal structure of Al2CuP at the GGA-PBE level of DFT.

Summary:
The calculation puts the density at 3.99 g/cm³. The symmetry is F-43m, No. 216. The calculation puts the volume at 15.45 A^3/atom. The calculation puts the calculated formation energy at 263.5 meV per atom.

Cell lengths 4.4375, 4.4375, 4.4375 Å; angles 60.00, 60.00, 60.00 degrees
Closest atoms and distances in Å follow each position.
Fractional positions:
Al 0.2500 0.2500 0.2500  4 Al 2.72, 4 Cu 2.72
Al 0.0000 0.0000 0.0000  4 P 2.72, 4 Al 2.72
Cu 0.5000 0.5000 0.5000  4 Al 2.72, 4 P 2.72
P 0.7500 0.7500 0.7500  4 Al 2.72, 4 Cu 2.72

Computed, not measured: an optimized crystal structure of LuZrPdPt at the GGA-PBE level of DFT.

Summary:
The calculation puts the density at 12.12 g/cm³. The symmetry is F-43m, No. 216. The calculation puts the volume at 19.44 A^3/atom. The calculation puts the calculated formation energy at -949.4 meV per atom.

Cell lengths 4.7909, 4.7909, 4.7909 Å; angles 60.00, 60.00, 60.00 degrees
Closest atoms and distances in Å follow each position.
Fractional positions:
Pd 0.0000 0.0000 0.0000  4 Zr 2.93, 4 Lu 2.93
Lu 0.7500 0.7500 0.7500  4 Pd 2.93, 4 Pt 2.93
Zr 0.2500 0.2500 0.2500  4 Pt 2.93, 4 Pd 2.93
Pt 0.5000 0.5000 0.5000  4 Lu 2.93, 4 Zr 2.93

Computed, not measured: an optimized crystal structure of Co2TcHW at the GGA-PBE level of DFT.

Summary:
The calculation puts the density at 12.47 g/cm³. The symmetry is P4/mmm, No. 123. The calculation puts the volume at 10.67 A^3/atom. For the energy above the most stable polymorph in this dataset, the calculation gives 61 meV per atom.

Cell lengths 3.6739, 3.6739, 3.9530 Å; angles 90.00, 90.00, 90.00 degrees
Closest atoms and distances in Å follow each position.
Fractional positions:
Co 0.0000 0.5000 0.0000  2 H 1.84
Co 0.5000 0.0000 0.0000  2 H 1.84
W 0.0000 0.0000 0.5000  2 H 1.98
H 0.0000 0.0000 0.0000  4 Co 1.84, 2 W 1.98
Tc 0.5000 0.5000 0.5000  4 W 2.60, 8 Co 2.70

Computed, not measured: an optimized crystal structure of LaTm2Tl at the GGA-PBE level of DFT.

Summary:
The calculation puts the density at 8.92 g/cm³. The symmetry is P2_1/m, No. 11. The calculation puts the volume at 31.71 A^3/atom. The calculation puts the calculated formation energy at -183.7 meV per atom. For the energy above the most stable polymorph in this dataset, the calculation gives 0 meV per atom.

Cell lengths 4.8805, 4.7878, 11.1169 Å; angles 102.45, 90.00, 90.00 degrees
Closest atoms and distances in Å follow each position.
Fractional positions:
Tm 0.2500 0.5546 0.1100  2 Tl 3.28-3.29, 8 Tm 3.41-3.49
Tm 0.7500 0.0614 0.1232  2 Tl 3.22, 6 Tm 3.42-3.49
Tm 0.7500 0.4454 0.8900  2 Tl 3.28-3.29, 8 Tm 3.41-3.49
Tm 0.2500 0.9386 0.8768  2 Tl 3.22, 6 Tm 3.42-3.49
La 0.2500 0.3098 0.6180  5 Tl 3.27-3.49
La 0.7500 0.6902 0.3820  5 Tl 3.27-3.49
Tl 0.7500 0.8422 0.6827  4 Tm 3.22-3.29, 5 La 3.27-3.49
Tl 0.2500 0.1578 0.3173  4 Tm 3.22-3.29, 5 La 3.27-3.49

Computed, not measured: an optimized crystal structure of K2CuOs2 at the GGA-PBE level of DFT.

Summary:
The calculation puts the density at 7.60 g/cm³. The symmetry is P4/mbm, No. 127. The calculation puts the volume at 22.83 A^3/atom. The calculation puts the calculated formation energy at 1077.1 meV per atom. For the energy above the most stable polymorph in this dataset, the calculation gives 0 meV per atom.

Cell lengths 6.3309, 6.3309, 5.6951 Å; angles 90.00, 90.00, 90.00 degrees
Closest atoms and distances in Å follow each position.
Fractional positions:
Cu 0.0000 0.0000 0.0000  4 Os 2.49
Cu 0.5000 0.5000 0.0000  4 Os 2.49
Os 0.8715 0.6285 0.0000  1 Os 2.30, 2 Cu 2.49
Os 0.6285 0.1285 0.0000  1 Os 2.30, 2 Cu 2.49
Os 0.1285 0.3715 0.0000  1 Os 2.30, 2 Cu 2.49
Os 0.3715 0.8715 0.0000  1 Os 2.30, 2 Cu 2.49
K 0.1803 0.6803 0.5000  5 K 3.23-3.29, 6 Os 3.32-3.47
K 0.8197 0.3197 0.5000  5 K 3.23-3.29, 6 Os 3.32-3.47
K 0.3197 0.1803 0.5000  5 K 3.23-3.29, 6 Os 3.32-3.47
K 0.6803 0.8197 0.5000  5 K 3.23-3.29, 6 Os 3.32-3.47